Material: BeGaFeBi
Method: DFT, PBE
State: relaxed

Values from the calculation:
The polymorph energy (0 for the lowest one) comes out at 0 meV/atom.

a b c (Å): 4.5698 4.5698 4.5698
angles (deg): 60.00 60.00 60.00
With the nearest neighbours (Å) after each atom.
Sites, in units of the cell vectors:
Be: 0.7500 0.7500 0.7500  4 Bi 2.80, 4 Ga 2.80
Bi: 0.5000 0.5000 0.5000  4 Be 2.80, 4 Fe 2.80
Fe: 0.2500 0.2500 0.2500  4 Ga 2.80, 4 Bi 2.80
Ga: 0.0000 0.0000 0.0000  4 Fe 2.80, 4 Be 2.80